Entry 1:
Compound: Ba2CaRh
Source: the Alexandria database
Functional: PBE
Structure: relaxed

a = 8.513 Å, b = 8.513 Å, c = 8.513 Å
α = 96.28°, β = 96.28°, γ = 141.36°
Sites, in units of the cell vectors:
Ba 0.375 0.025 0.150
Ba 0.775 0.625 0.650
Ba 0.875 0.225 0.850
Ba 0.975 0.125 0.350
Ca 0.250 0.750 0.500
Ca 0.500 0.500 0.000
Rh 0.000 0.000 0.000
Rh 0.750 0.250 0.500

Results
Density of states at the Fermi level ... 1.547 states/eV/atom
Symmetry ... I-42d
Crystal system ... tetragonal
Formation energy from the elements ... -0.0315 eV per atom
Energy above the lowest structure with this stoichiometry ... 0.183 eV per atom



Entry 2:
Compound: Tb4TeAuS2
Source: the Alexandria database
Functional: PBE
Structure: relaxed

a = 7.023 Å, b = 3.980 Å, c = 7.376 Å
α = 90.00°, β = 107.65°, γ = 90.00°
Sites, in units of the cell vectors:
Tb 0.229 0.000 0.216
Tb 0.250 0.500 0.773
Tb 0.750 0.500 0.227
Tb 0.771 0.000 0.784
Te 0.500 0.500 0.500
Au 0.000 0.000 0.500
S 0.000 0.500 0.000
S 0.500 0.000 0.000

Results
Density of states at the Fermi level ... 0.510 states/eV/atom
Symmetry ... P2/m
Crystal system ... monoclinic
Formation energy from raw total energies ... -1.51 eV/atom



Entry 3:
Compound: PuTh2Pb
Source: the Alexandria database
Functional: PBE
Structure: relaxed

a = 5.485 Å, b = 5.485 Å, c = 5.485 Å
α = 60.00°, β = 60.00°, γ = 60.00°
Sites, in units of the cell vectors:
Pu 0.000 0.000 0.000
Th 0.250 0.250 0.250
Th 0.750 0.750 0.750
Pb 0.500 0.500 0.500

Results
Density of states at the Fermi level ... 3.765 states/eV/atom
Symmetry ... Fm-3m
Crystal system ... cubic
Formation energy from the elements ... -0.0067 eV per atom
Energy above the lowest structure with this stoichiometry ... 0.131 eV per atom



Entry 4:
Compound: Tb5Nd2Ho12
Source: the Alexandria database
Functional: PBE
Structure: relaxed

a = 6.239 Å, b = 8.822 Å, c = 12.074 Å
α = 68.84°, β = 80.63°, γ = 79.76°
Sites, in units of the cell vectors:
Tb 0.000 0.000 0.000
Tb 0.214 0.325 0.012
Tb 0.361 0.840 0.509
Tb 0.639 0.160 0.491
Tb 0.786 0.675 0.988
Nd 0.262 0.501 0.433
Nd 0.738 0.499 0.567
Ho 0.091 0.125 0.661
Ho 0.165 0.206 0.324
Ho 0.228 0.461 0.716
Ho 0.276 0.599 0.138
Ho 0.311 0.741 0.833
Ho 0.457 0.924 0.174
Ho 0.543 0.076 0.826
Ho 0.689 0.259 0.167
Ho 0.724 0.401 0.862
Ho 0.772 0.539 0.284
Ho 0.835 0.794 0.676
Ho 0.909 0.875 0.339

Results
Density of states at the Fermi level ... 1.331 states/eV/atom
Symmetry ... P-1
Crystal system ... triclinic
Formation energy from the elements ... 0.0626 eV per atom
Energy above the lowest structure with this stoichiometry ... 0.000 eV per atom



Entry 5:
Compound: CrSbS2
Source: the Alexandria database
Functional: PBE
Structure: relaxed

a = 6.023 Å, b = 3.584 Å, c = 8.312 Å
α = 90.00°, β = 105.50°, γ = 90.00°
Sites, in units of the cell vectors:
Cr 0.249 0.250 0.006
Cr 0.751 0.750 0.994
Sb 0.209 0.750 0.506
Sb 0.791 0.250 0.494
S 0.138 0.750 0.162
S 0.349 0.750 0.845
S 0.651 0.250 0.155
S 0.862 0.250 0.838

Results
Density of states at the Fermi level ... 0.125 states/eV/atom
Symmetry ... P2_1/m
Crystal system ... monoclinic
Formation energy from raw total energies ... -0.46 eV/atom



Entry 6:
Compound: ZnTeSeN2
Source: the Alexandria database
Functional: PBE
Structure: relaxed

a = 3.992 Å, b = 3.992 Å, c = 6.566 Å
α = 90.00°, β = 90.00°, γ = 90.00°
Sites, in units of the cell vectors:
Zn 0.000 0.000 0.000
Te 0.000 0.000 0.500
Se 0.500 0.500 0.500
N 0.000 0.500 0.000
N 0.500 0.000 0.000

Results
Density of states at the Fermi level ... 0.451 states/eV/atom
Symmetry ... P4/mmm
Crystal system ... tetragonal
Energy above the lowest structure with this stoichiometry ... 0.241 eV per atom
Formation energy from raw total energies ... 1.44 eV/atom



Entry 7:
Compound: Hf2NbTl
Source: the Alexandria database
Functional: PBE
Structure: relaxed

a = 5.924 Å, b = 5.924 Å, c = 9.711 Å
α = 115.45°, β = 115.45°, γ = 34.59°
Sites, in units of the cell vectors:
Hf 0.116 0.116 0.169
Hf 0.136 0.136 0.705
Hf 0.864 0.864 0.295
Hf 0.884 0.884 0.831
Nb 0.360 0.360 0.055
Nb 0.640 0.640 0.945
Tl 0.381 0.381 0.567
Tl 0.619 0.619 0.433

Results
Density of states at the Fermi level ... 0.949 states/eV/atom
Symmetry ... C2/m
Crystal system ... monoclinic
Formation energy from the elements ... 0.0311 eV per atom
Energy above the lowest structure with this stoichiometry ... 0.050 eV per atom



Entry 8:
Compound: Nd3Al5Pd6
Source: the Alexandria database
Functional: PBE
Structure: relaxed

a = 4.315 Å, b = 13.449 Å, c = 9.404 Å
α = 90.00°, β = 90.00°, γ = 90.00°
Sites, in units of the cell vectors:
Nd 0.250 0.044 0.227
Nd 0.250 0.456 0.227
Nd 0.250 0.750 0.306
Nd 0.750 0.250 0.694
Nd 0.750 0.544 0.773
Nd 0.750 0.956 0.773
Al 0.250 0.079 0.575
Al 0.250 0.421 0.575
Al 0.250 0.641 0.999
Al 0.250 0.750 0.747
Al 0.250 0.859 0.999
Al 0.750 0.141 0.001
Al 0.750 0.250 0.253
Al 0.750 0.359 0.001
Al 0.750 0.579 0.425
Al 0.750 0.921 0.425
Pd 0.250 0.106 0.851
Pd 0.250 0.250 0.073
Pd 0.250 0.250 0.419
Pd 0.250 0.394 0.851
Pd 0.250 0.612 0.558
Pd 0.250 0.888 0.558
Pd 0.750 0.112 0.442
Pd 0.750 0.388 0.442
Pd 0.750 0.606 0.149
Pd 0.750 0.750 0.581
Pd 0.750 0.750 0.927
Pd 0.750 0.894 0.149

Results
Density of states at the Fermi level ... 0.552 states/eV/atom
Symmetry ... Pmmn
Crystal system ... orthorhombic
Formation energy from the elements ... -0.8163 eV per atom



Entry 9:
Compound: TiCrPt6
Source: the Alexandria database
Functional: PBE
Structure: relaxed

a = 3.933 Å, b = 3.933 Å, c = 7.883 Å
α = 90.00°, β = 90.00°, γ = 90.00°
Sites, in units of the cell vectors:
Ti 0.000 0.000 0.000
Cr 0.000 0.000 0.500
Pt 0.000 0.500 0.247
Pt 0.000 0.500 0.753
Pt 0.500 0.000 0.247
Pt 0.500 0.000 0.753
Pt 0.500 0.500 0.000
Pt 0.500 0.500 0.500

Results
Density of states at the Fermi level ... 1.082 states/eV/atom
Symmetry ... P4/mmm
Crystal system ... tetragonal
Formation energy from the elements ... -0.5783 eV per atom



Entry 10:
Compound: LaY2Sb
Source: the Alexandria database
Functional: PBE
Structure: relaxed

a = 3.785 Å, b = 5.157 Å, c = 6.690 Å
α = 90.00°, β = 105.93°, γ = 90.00°
Sites, in units of the cell vectors:
La 0.000 0.000 0.000
Y 0.378 0.500 0.728
Y 0.622 0.500 0.272
Sb 0.000 0.000 0.500

Results
Density of states at the Fermi level ... 1.128 states/eV/atom
Symmetry ... P2/m
Crystal system ... monoclinic
Formation energy from raw total energies ... -0.39 eV/atom



Entry 11:
Compound: MnCrAs2
Source: the Alexandria database
Functional: PBE
Structure: relaxed

a = 6.225 Å, b = 6.225 Å, c = 6.225 Å
α = 33.55°, β = 33.55°, γ = 33.55°
Sites, in units of the cell vectors:
Mn 0.000 0.000 0.000
Cr 0.168 0.168 0.168
As 0.583 0.583 0.583
As 0.751 0.751 0.751

Results
Density of states at the Fermi level ... 0.731 states/eV/atom
Symmetry ... R3m
Crystal system ... trigonal
Formation energy from the elements ... -0.0345 eV per atom
Energy above the lowest structure with this stoichiometry ... 0.061 eV per atom



Entry 12:
Compound: CdI2Br2
Source: the Alexandria database
Functional: PBE
Structure: relaxed

a = 7.879 Å, b = 7.879 Å, c = 7.868 Å
α = 90.00°, β = 90.00°, γ = 90.00°
Sites, in units of the cell vectors:
Cd 0.000 0.000 0.000
Cd 0.500 0.500 0.000
I 0.179 0.321 0.000
I 0.321 0.821 0.000
I 0.679 0.179 0.000
I 0.821 0.679 0.000
Br 0.104 0.604 0.500
Br 0.396 0.104 0.500
Br 0.604 0.896 0.500
Br 0.896 0.396 0.500

Results
Density of states at the Fermi level ... 0.000 states/eV/atom
Symmetry ... P4/mbm
Crystal system ... tetragonal
Energy above the lowest structure with this stoichiometry ... 0.000 eV per atom
Formation energy from raw total energies ... -0.14 eV/atom



- Among the records above, which one has the highest density of states at the Fermi level?
  PuTh2Pb